Material: YBeTe2
Method: DFT, PBE
State: optimized geometry

a b c (Å): 6.2806 6.2806 4.0986
angles (deg): 90.21 90.21 37.59
With the nearest neighbours (Å) after each atom.
Fractional coordinates of all 4 atoms:
Y  0.0000  0.0000  0.0000  6 Te 3.08, 2 Be 3.10-3.25
Be  0.2040  0.2040  0.5306  1 Te 2.44
Te  0.4088  0.4088  0.4987  1 Be 2.44
Te  0.6952  0.6952  0.9905  4 Be 2.77-3.00, 2 Y 3.08

The energy relative to the elements, uncorrected is -0.72 eV/atom.

=====

Material: YBeTe2
Method: DFT, PBE
State: optimized geometry

a b c (Å): 6.4876 6.4876 6.4876
angles (deg): 112.31 112.31 103.92
With the nearest neighbours (Å) after each atom.
Fractional coordinates of all 8 atoms:
Y  0.0000  0.0000  0.0000  4 Te 3.12
Y  0.7500  0.2500  0.5000  4 Te 3.12
Be  0.2500  0.7500  0.5000  4 Te 2.43
Be  0.5000  0.5000  0.0000  4 Te 2.43
Te  0.1988  0.6250  0.0738  2 Be 2.43
Te  0.3750  0.4488  0.5738  2 Be 2.43
Te  0.5512  0.1250  0.9262  2 Be 2.43
Te  0.8750  0.8012  0.4262  2 Be 2.43

The energy relative to the elements, uncorrected is -0.54 eV/atom.

=====

Material: YBeTe2
Method: DFT, PBE
State: optimized geometry

a b c (Å): 8.4618 8.4618 8.4618
angles (deg): 30.01 30.01 30.01
With the nearest neighbours (Å) after each atom.
Fractional coordinates of all 4 atoms:
Y  0.0000  0.0000  0.0000  6 Te 3.09
Be  0.5000  0.5000  0.5000  2 Te 2.26
Te  0.4066  0.4066  0.4066  1 Be 2.26
Te  0.5934  0.5934  0.5934  1 Be 2.26

The energy relative to the elements, uncorrected is -0.45 eV/atom.

=====

Number 1: magnetic moment 0.0 μB/f.u., relative energy among the computed polymorphs 65.7 meV per atom. Number 2: magnetic moment 0.0 μB/f.u., relative energy among the computed polymorphs 240.5 meV per atom. Number 3: magnetic moment 0.0 μB/f.u., relative energy among the computed polymorphs 336.7 meV per atom.